! PBEsol CaCu3Bi4O12, relaxed; values from VASP
! Crystal system   cubic
! Density   7.9 g cm⁻³
&SYSTEM
  ibrav = 0, nat = 20, ntyp = 4
/
ATOMIC_SPECIES
Ca 40.08 Ca.upf
Cu 63.55 Cu.upf
Bi 208.98 Bi.upf
O 16.00 O.upf
CELL_PARAMETERS angstrom
-4.0519 4.0519 4.0519
4.0519 -4.0519 4.0519
4.0519 4.0519 -4.0519
ATOMIC_POSITIONS crystal
Ca 0.0000 0.0000 0.0000
Cu 0.0000 0.5000 0.5000
Cu 0.5000 0.0000 0.5000
Cu 0.5000 0.5000 0.0000
Bi 0.0000 0.0000 0.5000
Bi 0.0000 0.5000 0.0000
Bi 0.5000 0.0000 0.0000
Bi 0.5000 0.5000 0.5000
O 0.1539 0.3212 0.4751
O 0.1539 0.6788 0.8326
O 0.1674 0.8461 0.3212
O 0.3212 0.1674 0.8461
O 0.3212 0.4751 0.1539
O 0.4751 0.1539 0.3212
O 0.5249 0.8461 0.6788
O 0.6788 0.5249 0.8461
O 0.6788 0.8326 0.1539
O 0.8326 0.1539 0.6788
O 0.8461 0.3212 0.1674
O 0.8461 0.6788 0.5249

---

! PBEsol CaBiF5, relaxed; values from VASP
! Crystal system   monoclinic
! Distance to the lowest polymorph of the same formula   70 meV per atom
! Density   4.4 g cm⁻³
&SYSTEM
  ibrav = 0, nat = 14, ntyp = 3
/
ATOMIC_SPECIES
Ca 40.08 Ca.upf
Bi 208.98 Bi.upf
F 19.00 F.upf
CELL_PARAMETERS angstrom
4.8551 -3.5329 0.0000
4.8551 3.5329 0.0000
-3.5428 0.0000 7.5510
ATOMIC_POSITIONS crystal
Ca 0.0294 0.9706 0.7500
Ca 0.9706 0.0294 0.2500
Bi 0.5000 0.5000 0.0000
Bi 0.5000 0.5000 0.5000
F 0.1726 0.8002 0.0439
F 0.1998 0.8274 0.4561
F 0.2178 0.2804 0.3658
F 0.2804 0.2178 0.8658
F 0.3657 0.6343 0.7500
F 0.6343 0.3657 0.2500
F 0.7196 0.7822 0.1342
F 0.7822 0.7196 0.6342
F 0.8002 0.1726 0.5439
F 0.8274 0.1998 0.9561

---

! PBEsol CaBiF5, relaxed; values from VASP
! Crystal system   monoclinic
! Distance to the lowest polymorph of the same formula   0 meV per atom
! Density   5.7 g cm⁻³
&SYSTEM
  ibrav = 0, nat = 28, ntyp = 3
/
ATOMIC_SPECIES
Ca 40.08 Ca.upf
Bi 208.98 Bi.upf
F 19.00 F.upf
CELL_PARAMETERS angstrom
4.8966 0.0000 0.0000
0.0000 11.1303 0.0000
-0.0369 0.0000 7.3234
ATOMIC_POSITIONS crystal
Ca 0.0310 0.0166 0.2500
Ca 0.0310 0.4834 0.7500
Ca 0.9690 0.5166 0.2500
Ca 0.9690 0.9834 0.7500
Bi 0.4587 0.2497 0.0041
Bi 0.4587 0.2503 0.5041
Bi 0.5413 0.7497 0.4959
Bi 0.5413 0.7503 0.9959
F 0.1710 0.2299 0.2495
F 0.1710 0.2701 0.7495
F 0.1958 0.0831 0.5225
F 0.1956 0.0836 0.9786
F 0.1956 0.4164 0.4786
F 0.1958 0.4169 0.0225
F 0.3462 0.6333 0.7490
F 0.3462 0.8667 0.2490
F 0.3604 0.6248 0.2531
F 0.3604 0.8752 0.7531
F 0.6396 0.1248 0.2469
F 0.6396 0.3752 0.7469
F 0.6538 0.1333 0.7510
F 0.6538 0.3667 0.2510
F 0.8042 0.5831 0.9775
F 0.8044 0.5836 0.5214
F 0.8044 0.9164 0.0214
F 0.8042 0.9169 0.4775
F 0.8290 0.7299 0.2505
F 0.8290 0.7701 0.7505

---

Number 1: formation energy without anion corrections -1.06 eV per atom. Number 2: formation energy without anion corrections -3.01 eV per atom. Number 3: formation energy without anion corrections -3.08 eV per atom.